10
Lattice="2.741 1.583 4.871 -2.741 1.583 4.871 0.000 -3.165 4.871" Properties=species:S:1:pos:R:3 comment="SmPuNi2O6, relaxed, DFT GGA+U" e_tot_ev_per_atom=-7.599 pbc="T T T"
Sm 0.000 0.000 0.000
Pu 0.000 0.000 7.098
Ni 0.000 0.000 4.100
Ni 0.000 0.000 11.549
O -1.580 -0.218 5.655
O -1.036 -1.672 8.025
O 0.978 -1.259 5.655
O -0.930 1.733 8.025
O 0.602 1.477 5.655
O 1.966 -0.061 8.025